VASP calculation (PBE with a Hubbard U) on AlCoI2O after structural relaxation.

```
AlCoI2O
1.0
-3.223 -4.008 -2.757
4.588 -1.405 -3.320
1.004 -2.485 2.440
I O Al Co
2 1 1 1
direct
0.500 0.000 0.000
0.000 0.500 0.000
0.000 0.000 0.500
0.500 0.500 0.500
0.000 0.000 0.000
```

Results
Symmetry: P4/mmm, No. 123
DFT total energy: -3.493 eV per atom
Excess energy over the best structure of this formula in the dataset: 283 meV/atom
Theoretical density: 4.8 g/cm³